Record 1
Computed, not measured: crystalline HfScP2 at its relaxed geometry at the PBE-GGA level of DFT.

a b c (Å): 4.596 4.596 4.596
angles (deg): 60.00 60.00 60.00
Fractional coordinates of all 4 atoms:
Sc 0.000 0.000 0.000
P 0.250 0.250 0.250
P 0.750 0.750 0.750
Hf 0.500 0.500 0.500

Results
offset from the most stable computed form	572	meV/atom
D(E_F)	5.29	states/eV/cell
energy of formation	-836	meV/atom
total moment	0.0	μB/cell
VASP energy	-7.613	eV/atom
volume	69	Å³ per cell

=====

Record 2
Computed, not measured: crystalline HfSc2P at its relaxed geometry at the PBE-GGA level of DFT.

a b c (Å): 10.383 10.383 10.383
angles (deg): 17.71 17.71 17.71
Fractional coordinates of all 4 atoms:
Sc 0.916 0.916 0.916
Sc 0.084 0.084 0.084
P 0.000 0.000 0.000
Hf 0.500 0.500 0.500

Results
D(E_F)	5.41	states/eV/cell
energy of formation	133	meV/atom
total moment	0.0	μB/cell
VASP energy	-6.874	eV/atom
volume	90	Å³ per cell

=====

Record 3
Computed, not measured: crystalline HfSc2P at its relaxed geometry at the PBE-GGA level of DFT.

a b c (Å): 7.977 7.977 6.245
angles (deg): 50.31 50.31 90.00
Fractional coordinates of all 8 atoms:
Sc 0.561 0.125 0.250
Sc 0.189 0.625 0.250
Sc 0.375 0.439 0.750
Sc 0.875 0.811 0.750
P 0.500 0.500 0.000
P 0.250 0.750 0.500
Hf 0.000 0.000 0.000
Hf 0.750 0.250 0.500

Results
D(E_F)	11.36	states/eV/cell
energy of formation	-298	meV/atom
total moment	0.0	μB/cell
VASP energy	-7.304	eV/atom
volume	171	Å³ per cell

=====

Record 4
Computed, not measured: crystalline HfSc2P at its relaxed geometry at the PBE-GGA level of DFT.

a b c (Å): 9.488 9.488 9.488
angles (deg): 20.52 20.52 20.52
Fractional coordinates of all 4 atoms:
Sc 0.890 0.890 0.890
Sc 0.110 0.110 0.110
P 0.500 0.500 0.500
Hf 0.000 0.000 0.000

Results
D(E_F)	3.64	states/eV/cell
energy of formation	-264	meV/atom
total moment	0.0	μB/cell
VASP energy	-7.271	eV/atom
volume	92	Å³ per cell

=====

Record 5
Computed, not measured: crystalline Hf3ScP4 at its relaxed geometry at the PBE-GGA level of DFT.

a b c (Å): 6.431 6.438 7.395
angles (deg): 90.00 90.00 109.22
Fractional coordinates of all 16 atoms:
Sc 0.750 0.000 0.875
Sc 0.250 0.000 0.125
P 0.000 0.250 0.625
P 0.501 0.250 0.875
P 0.500 0.250 0.375
P 0.001 0.250 0.125
P 0.999 0.750 0.875
P 0.500 0.750 0.625
P 0.499 0.750 0.125
P 0.000 0.750 0.375
Hf 0.750 0.000 0.375
Hf 0.250 0.000 0.625
Hf 0.750 0.500 0.624
Hf 0.750 0.500 0.125
Hf 0.250 0.500 0.376
Hf 0.250 0.500 0.875

Results
D(E_F)	6.30	states/eV/cell
energy of formation	-1327	meV/atom
total moment	0.0	μB/cell
VASP energy	-8.556	eV/atom
volume	289	Å³ per cell

=====

Record 6
Computed, not measured: crystalline HfScP2 at its relaxed geometry at the PBE-GGA level of DFT.

a b c (Å): 3.679 3.679 6.704
angles (deg): 74.08 74.08 60.00
Fractional coordinates of all 4 atoms:
Hf 0.670 0.670 0.989
Sc 0.496 0.496 0.513
P 0.081 0.081 0.756
P 0.253 0.253 0.242

Results
offset from the most stable computed form	109	meV/atom
D(E_F)	2.54	states/eV/cell
energy of formation	-1299	meV/atom
total moment	0.0	μB/cell
VASP energy	-8.075	eV/atom
volume	75	Å³ per cell